VASP calculation (PBE) on a geometry-optimized Dy4Er5Th3 structure.

Summary:
**DFT formation energy**: 0.3700 eV per atom
**Space group**: No. 12
**Total magnetization**: 0.00 μB/atom

a = 9.2486 Å, b = 9.2486 Å, c = 8.5996 Å
α = 113.74°, β = 113.74°, γ = 35.84°
Last column: nearest neighbours and their distance in Å.
Fractional positions:
1 Dy 0.0406 0.0406 0.2010  1 Er 2.95, 2 Dy 3.13-3.29
2 Dy 0.2167 0.2167 0.1551  3 Th 3.28-3.41, 1 Dy 3.29, 3 Er 3.51-3.55
3 Dy 0.7833 0.7833 0.8449  3 Th 3.28-3.41, 1 Dy 3.29, 3 Er 3.51-3.55
4 Dy 0.9594 0.9594 0.7990  1 Er 2.95, 2 Dy 3.13-3.29
5 Er 0.0000 0.0000 0.5000  4 Th 2.85-2.98, 2 Dy 2.95
6 Er 0.3341 0.3341 0.6013  2 Th 3.32-3.38, 3 Dy 3.51-3.56, 1 Er 3.53
7 Er 0.4042 0.4042 0.0511  2 Th 3.50-3.70, 2 Er 3.53-3.83, 5 Dy 3.55-3.77
8 Er 0.5958 0.5958 0.9489  2 Th 3.50-3.70, 2 Er 3.53-3.83, 5 Dy 3.55-3.77
9 Er 0.6659 0.6659 0.3987  2 Th 3.32-3.38, 3 Dy 3.51-3.56, 1 Er 3.53
10 Th 0.1822 0.1822 0.7334  2 Er 2.98-3.32, 2 Dy 3.28
11 Th 0.5000 0.5000 0.5000  2 Er 2.85
12 Th 0.8178 0.8178 0.2666  2 Er 2.98-3.32, 2 Dy 3.28